Model P:
Entry from Alexandria via LeMat-Bulk: a relaxed Tb2PmY crystal (GGA-PBE).

Its space group is R3m, No. 160. The crystal system is trigonal. The total magnetization comes out at 0.0 μB/f.u.

Unit cell a=3.6089 b=3.6089 c=34.8329 alpha=90.00 beta=90.00 gamma=120.00
Last column: nearest neighbours and their distance in Å.
Fractional positions:
Tb  0.0000  0.0000  0.0000  3 Y 3.55, 3 Pm 3.58, 6 Tb 3.61
Tb  0.0000  0.0000  0.1682  3 Y 3.55, 3 Pm 3.60, 6 Tb 3.61
Tb  0.3333  0.6667  0.6667  3 Y 3.55, 3 Pm 3.58, 6 Tb 3.61
Tb  0.3333  0.6667  0.8348  3 Y 3.55, 3 Pm 3.60, 6 Tb 3.61
Tb  0.6667  0.3333  0.3333  3 Y 3.55, 3 Pm 3.58, 6 Tb 3.61
Tb  0.6667  0.3333  0.5015  3 Y 3.55, 3 Pm 3.60, 6 Tb 3.61
Pm  0.0000  0.0000  0.7504  6 Tb 3.58-3.60, 6 Pm 3.61
Pm  0.3333  0.6667  0.4170  6 Tb 3.58-3.60, 6 Pm 3.61
Pm  0.6667  0.3333  0.0837  6 Tb 3.58-3.60, 6 Pm 3.61
Y  0.0000  0.0000  0.5842  6 Tb 3.55, 6 Y 3.61
Y  0.3333  0.6667  0.2508  6 Tb 3.55, 6 Y 3.61
Y  0.6667  0.3333  0.9175  6 Tb 3.55, 6 Y 3.61

***

Model Q:
Entry from Alexandria via LeMat-Bulk: a relaxed Tb2PmY crystal (GGA-PBE).

Its space group is P4/mmm, No. 123. The crystal system is tetragonal. The total magnetization comes out at 0.0 μB/f.u.

Unit cell a=5.0695 b=5.0695 c=5.0738 alpha=90.00 beta=90.00 gamma=90.00
Last column: nearest neighbours and their distance in Å.
Fractional positions:
Tb  0.0000  0.5000  0.0000  4 Tb 3.58, 4 Pm 3.59, 4 Y 3.59
Tb  0.5000  0.0000  0.0000  4 Tb 3.58, 4 Pm 3.59, 4 Y 3.59
Pm  0.0000  0.0000  0.5000  4 Y 3.58, 8 Tb 3.59
Y  0.5000  0.5000  0.5000  4 Pm 3.58, 8 Tb 3.59

***

Energies in kJ/mol of atoms, measured from the most stable structure: model P 0.0; model Q 0.6.

***

Model P:
Entry from Alexandria via LeMat-Bulk: a relaxed Tb2Pm3Y crystal (GGA-PBE).

Its space group is Cmcm, No. 63. The crystal system is orthorhombic. The total magnetization comes out at 0.0 μB/f.u.

Unit cell a=6.2729 b=6.2729 c=11.6596 alpha=90.00 beta=90.00 gamma=60.00
Last column: nearest neighbours and their distance in Å.
Fractional positions:
Tb  0.0005  0.3331  0.2500  6 Pm 3.58-3.59, 3 Y 3.62-3.63, 3 Tb 3.62
Tb  0.9995  0.6669  0.7500  6 Pm 3.58-3.59, 3 Y 3.62-3.63, 3 Tb 3.62
Tb  0.3331  0.0005  0.7500  6 Pm 3.58-3.59, 3 Y 3.62-3.63, 3 Tb 3.62
Tb  0.6669  0.9995  0.2500  6 Pm 3.58-3.59, 3 Y 3.62-3.63, 3 Tb 3.62
Pm  0.0000  0.0000  0.0000  2 Y 3.59, 4 Tb 3.59, 6 Pm 3.62
Pm  0.0000  0.0000  0.5000  2 Y 3.59, 4 Tb 3.59, 6 Pm 3.62
Pm  0.3328  0.3328  0.0000  4 Tb 3.58-3.59, 2 Y 3.59, 6 Pm 3.62-3.63
Pm  0.3328  0.3328  0.5000  4 Tb 3.58-3.59, 2 Y 3.59, 6 Pm 3.62-3.63
Pm  0.6672  0.6672  0.0000  4 Tb 3.58-3.59, 2 Y 3.59, 6 Pm 3.62-3.63
Pm  0.6672  0.6672  0.5000  4 Tb 3.58-3.59, 2 Y 3.59, 6 Pm 3.62-3.63
Y  0.3331  0.6669  0.2500  6 Pm 3.59, 6 Tb 3.62-3.63
Y  0.6669  0.3331  0.7500  6 Pm 3.59, 6 Tb 3.62-3.63

***

Model Q:
Entry from Alexandria via LeMat-Bulk: a relaxed Tb2Pm3Y crystal (GGA-PBE).

Its space group is C2/m, No. 12. The crystal system is monoclinic. The total magnetization comes out at 0.0 μB/f.u.

Unit cell a=6.8561 b=6.8561 c=17.7278 alpha=102.06 beta=102.06 gamma=30.09
Last column: nearest neighbours and their distance in Å.
Fractional positions:
Tb  0.1326  0.1326  0.0009  3 Pm 3.45-3.54, 5 Tb 3.51-3.59, 2 Y 3.55-3.67
Tb  0.3013  0.3013  0.6649  7 Pm 3.36-3.58, 2 Y 3.52, 2 Tb 3.56
Tb  0.6987  0.6987  0.3351  7 Pm 3.36-3.58, 2 Y 3.52, 2 Tb 3.56
Tb  0.8674  0.8674  0.9991  3 Pm 3.45-3.54, 5 Tb 3.51-3.59, 2 Y 3.55-3.67
Pm  0.1275  0.1275  0.4895  3 Tb 3.45-3.56, 9 Pm 3.48-3.83
Pm  0.2313  0.2313  0.8359  4 Tb 3.36-3.54, 3 Y 3.56-3.57, 2 Pm 3.56
Pm  0.4333  0.4333  0.3344  3 Tb 3.51-3.58, 8 Pm 3.56-3.83, 2 Y 3.77
Pm  0.5667  0.5667  0.6656  3 Tb 3.51-3.58, 8 Pm 3.56-3.83, 2 Y 3.77
Pm  0.7687  0.7687  0.1641  4 Tb 3.36-3.54, 3 Y 3.56-3.57, 2 Pm 3.56
Pm  0.8725  0.8725  0.5105  3 Tb 3.45-3.56, 9 Pm 3.48-3.83
Y  0.0414  0.0414  0.1820  4 Tb 3.52-3.67, 5 Pm 3.56-3.77, 2 Y 3.56
Y  0.9586  0.9586  0.8180  4 Tb 3.52-3.67, 5 Pm 3.56-3.77, 2 Y 3.56

***

Energies in kJ/mol of atoms, measured from the most stable structure: model P 0.0; model Q 10.4.

***

Model P:
Entry from Alexandria via LeMat-Bulk: a relaxed Tb2Pm4Y crystal (GGA-PBE).

Its space group is C2, No. 5. The crystal system is monoclinic. The total magnetization comes out at 0.0 μB/f.u.

Unit cell a=8.9723 b=8.9723 c=11.5750 alpha=130.15 beta=130.15 gamma=45.19
Last column: nearest neighbours and their distance in Å.
Fractional positions:
Tb  0.0000  0.0000  0.0000  6 Pm 3.39-3.73
Tb  0.2985  0.1382  0.4685  3 Pm 3.02-3.33
Tb  0.8618  0.7015  0.5315  3 Pm 3.02-3.33
Tb  0.9992  0.0008  0.5000  6 Pm 3.40-3.74
Pm  0.3062  0.3730  0.3401  1 Tb 3.32, 1 Y 3.33, 2 Pm 3.62-3.64
Pm  0.3063  0.3741  0.8400  1 Tb 3.33, 1 Y 3.33, 2 Pm 3.63-3.64
Pm  0.3075  0.6934  0.2509  1 Pm 3.00, 1 Tb 3.02, 1 Y 3.03
Pm  0.3066  0.6925  0.7491  1 Pm 3.00, 1 Tb 3.02, 1 Y 3.03
Pm  0.6259  0.6937  0.1600  1 Tb 3.33, 1 Y 3.33, 2 Pm 3.63-3.64
Pm  0.6270  0.6938  0.6599  1 Tb 3.32, 1 Y 3.33, 2 Pm 3.62-3.64
Pm  0.7416  0.2571  0.7496  1 Pm 3.00
Pm  0.7429  0.2584  0.2504  1 Pm 3.00
Y  0.2982  0.1385  0.9683  3 Pm 3.03-3.33
Y  0.8615  0.7018  0.0317  3 Pm 3.03-3.33

***

Model Q:
Entry from Alexandria via LeMat-Bulk: a relaxed Tb2Pm4Y crystal (GGA-PBE).

Its space group is Cmce, No. 64. The crystal system is orthorhombic. The total magnetization comes out at 0.0 μB/f.u.

Unit cell a=6.2920 b=6.2920 c=15.6293 alpha=90.00 beta=90.00 gamma=129.64
Last column: nearest neighbours and their distance in Å.
Fractional positions:
Tb  0.1079  0.8921  0.8434  6 Pm 3.30-3.68
Tb  0.3921  0.6079  0.3434  6 Pm 3.30-3.68
Tb  0.6079  0.3921  0.6566  6 Pm 3.30-3.68
Tb  0.8921  0.1079  0.1566  6 Pm 3.30-3.68
Pm  0.0978  0.9022  0.3056  4 Pm 3.19-3.52, 1 Y 3.24, 2 Tb 3.30-3.40
Pm  0.2044  0.7956  0.0707  5 Pm 3.52-3.87, 3 Y 3.54-3.72, 4 Tb 3.68-3.80
Pm  0.2956  0.7044  0.5707  5 Pm 3.52-3.87, 3 Y 3.54-3.72, 4 Tb 3.68-3.80
Pm  0.4022  0.5978  0.8056  4 Pm 3.19-3.52, 1 Y 3.24, 2 Tb 3.30-3.40
Pm  0.5978  0.4022  0.1944  4 Pm 3.19-3.52, 1 Y 3.24, 2 Tb 3.30-3.40
Pm  0.7044  0.2956  0.4293  5 Pm 3.52-3.87, 3 Y 3.54-3.72, 4 Tb 3.68-3.80
Pm  0.7956  0.2044  0.9293  5 Pm 3.52-3.87, 3 Y 3.54-3.72, 4 Tb 3.68-3.80
Pm  0.9022  0.0978  0.6944  4 Pm 3.19-3.52, 1 Y 3.24, 2 Tb 3.30-3.40
Y  0.0000  0.0000  0.5000  4 Pm 3.24-3.54
Y  0.5000  0.5000  0.0000  4 Pm 3.24-3.54

***

Energies in kJ/mol of atoms, measured from the most stable structure: model P 1.4; model Q 0.0.

***

Model P:
Entry from Alexandria via LeMat-Bulk: a relaxed Tb2PmY4 crystal (GGA-PBE).

Its space group is P2_1/m, No. 11. The crystal system is monoclinic. The total magnetization comes out at 0.0 μB/f.u.

Unit cell a=6.0616 b=6.6557 c=11.6696 alpha=90.00 beta=104.06 gamma=90.00
Last column: nearest neighbours and their distance in Å.
Fractional positions:
Tb  0.0986  0.2500  0.4886  2 Pm 3.32-3.35, 3 Y 3.42-3.67, 2 Tb 3.57
Tb  0.3362  0.7500  0.0513  9 Y 3.29-3.56
Tb  0.6638  0.2500  0.9487  9 Y 3.29-3.56
Tb  0.9014  0.7500  0.5114  2 Pm 3.32-3.35, 3 Y 3.42-3.67, 2 Tb 3.57
Pm  0.4613  0.7500  0.6345  2 Tb 3.32-3.35, 6 Y 3.35-3.49
Pm  0.5387  0.2500  0.3655  2 Tb 3.32-3.35, 6 Y 3.35-3.49
Y  0.1587  0.0074  0.7902  4 Y 3.23-3.52, 1 Pm 3.35, 2 Tb 3.43-3.56
Y  0.1587  0.4926  0.7902  4 Y 3.23-3.52, 1 Pm 3.35, 2 Tb 3.43-3.56
Y  0.2267  0.2500  0.0808  4 Tb 3.37-3.43, 1 Pm 3.40, 4 Y 3.52-3.69
Y  0.3597  0.7500  0.3362  2 Tb 3.29-3.42, 3 Pm 3.38-3.49, 2 Y 3.52
Y  0.6403  0.2500  0.6638  2 Tb 3.29-3.42, 3 Pm 3.38-3.49, 2 Y 3.52
Y  0.7733  0.7500  0.9192  4 Tb 3.37-3.43, 1 Pm 3.40, 4 Y 3.52-3.69
Y  0.8413  0.5074  0.2098  4 Y 3.23-3.52, 1 Pm 3.35, 2 Tb 3.43-3.56
Y  0.8413  0.9926  0.2098  4 Y 3.23-3.52, 1 Pm 3.35, 2 Tb 3.43-3.56

***

Model Q:
Entry from Alexandria via LeMat-Bulk: a relaxed Tb2PmY4 crystal (GGA-PBE).

Its space group is C2/m, No. 12. The crystal system is monoclinic. The total magnetization comes out at 0.0 μB/f.u.

Unit cell a=16.7720 b=3.5594 c=8.7945 alpha=90.00 beta=119.54 gamma=90.00
Last column: nearest neighbours and their distance in Å.
Fractional positions:
Tb  0.0698  0.0000  0.4297  1 Tb 3.14, 1 Y 3.33, 1 Pm 3.36
Tb  0.4302  0.5000  0.5703  1 Tb 3.14, 1 Y 3.33, 1 Pm 3.36
Tb  0.5698  0.5000  0.4297  1 Tb 3.14, 1 Y 3.33, 1 Pm 3.36
Tb  0.9302  0.0000  0.5703  1 Tb 3.14, 1 Y 3.33, 1 Pm 3.36
Pm  0.0000  0.0000  0.0000  2 Tb 3.36, 2 Pm 3.56, 4 Y 3.59
Pm  0.5000  0.5000  0.0000  2 Tb 3.36, 2 Pm 3.56, 4 Y 3.59
Y  0.1420  0.5000  0.8353  7 Y 3.56-3.79, 4 Tb 3.61-3.62, 2 Pm 3.79
Y  0.2052  0.5000  0.2938  3 Tb 3.33-3.53, 7 Y 3.56-3.73, 2 Pm 3.59
Y  0.2948  0.0000  0.7062  3 Tb 3.33-3.53, 7 Y 3.56-3.73, 2 Pm 3.59
Y  0.3580  0.0000  0.1647  7 Y 3.56-3.79, 4 Tb 3.61-3.62, 2 Pm 3.79
Y  0.6420  0.0000  0.8353  7 Y 3.56-3.79, 4 Tb 3.61-3.62, 2 Pm 3.79
Y  0.7052  0.0000  0.2938  3 Tb 3.33-3.53, 7 Y 3.56-3.73, 2 Pm 3.59
Y  0.7948  0.5000  0.7062  3 Tb 3.33-3.53, 7 Y 3.56-3.73, 2 Pm 3.59
Y  0.8580  0.5000  0.1647  7 Y 3.56-3.79, 4 Tb 3.61-3.62, 2 Pm 3.79

***

Energies in kJ/mol of atoms, measured from the most stable structure: model P 9.2; model Q 0.0.

***

Model P:
Entry from Alexandria via LeMat-Bulk: a relaxed TbPmY crystal (GGA-PBE).

Its space group is P-6m2, No. 187. The crystal system is hexagonal. The total magnetization comes out at 0.0 μB/f.u.

Unit cell a=5.6596 b=5.6596 c=3.5477 alpha=90.00 beta=90.00 gamma=120.00
Last column: nearest neighbours and their distance in Å.
Fractional positions:
Tb  0.0000  0.0000  0.0000  3 Pm 3.27, 2 Tb 3.55
Pm  0.6667  0.3333  0.0000  3 Tb 3.27, 2 Pm 3.55
Y  0.3333  0.6667  0.5000  2 Y 3.55, 6 Tb 3.72, 6 Pm 3.72

***

Model Q:
Entry from Alexandria via LeMat-Bulk: a relaxed TbPmY crystal (GGA-PBE).

Its space group is I4mm, No. 107. The crystal system is tetragonal. The total magnetization comes out at 0.0 μB/f.u.

Unit cell a=4.2111 b=4.2111 c=11.1708 alpha=90.00 beta=90.00 gamma=90.00
Last column: nearest neighbours and their distance in Å.
Fractional positions:
Tb  0.0000  0.0000  0.0000  5 Y 3.47-3.80, 5 Pm 3.54-3.67
Tb  0.5000  0.5000  0.5000  5 Y 3.47-3.80, 5 Pm 3.54-3.67
Pm  0.0000  0.0000  0.6713  5 Y 3.53-3.70, 5 Tb 3.54-3.67
Pm  0.5000  0.5000  0.1713  5 Y 3.53-3.70, 5 Tb 3.54-3.67
Y  0.0000  0.0000  0.3402  5 Tb 3.47-3.80, 5 Pm 3.53-3.70
Y  0.5000  0.5000  0.8402  5 Tb 3.47-3.80, 5 Pm 3.53-3.70

***

Model R:
Entry from Alexandria via LeMat-Bulk: a relaxed TbPmY crystal (GGA-PBE).

Its space group is P-1, No. 2. The crystal system is triclinic. The total magnetization comes out at 0.0 μB/f.u.

Unit cell a=3.5464 b=6.1399 c=9.6533 alpha=90.60 beta=90.07 gamma=106.65
Last column: nearest neighbours and their distance in Å.
Fractional positions:
Tb  0.1307  0.2634  0.4316  5 Tb 3.38-3.55, 1 Pm 3.42, 5 Y 3.57-3.70
Tb  0.8693  0.7366  0.5684  5 Tb 3.38-3.55, 1 Pm 3.42, 5 Y 3.57-3.70
Pm  0.1343  0.2689  0.0778  1 Tb 3.42, 5 Pm 3.49-3.59, 5 Y 3.61-3.67
Pm  0.8657  0.7311  0.9222  1 Tb 3.42, 5 Pm 3.49-3.59, 5 Y 3.61-3.67
Y  0.4080  0.8150  0.2515  2 Y 3.55, 5 Tb 3.57-3.70, 5 Pm 3.61-3.67
Y  0.5920  0.1850  0.7485  2 Y 3.55, 5 Tb 3.57-3.70, 5 Pm 3.61-3.67

***

Energies in kJ/mol of atoms, measured from the most stable structure: model P 0.0; model Q 5.3; model R 5.9.